(1)
Computed, not measured: crystalline Zn3Ni at its relaxed geometry at the PBE level of DFT.

POSCAR file:
```
Zn3Ni
1.0
-4.840 1.396 -1.434
-1.603 -3.240 2.259
-0.316 2.804 3.797
Zn Ni
6 2
Direct
0.000 0.500 0.357
0.500 0.000 0.643
0.753 0.000 0.163
0.253 0.500 0.837
0.247 0.000 0.163
0.747 0.500 0.837
0.000 0.000 0.664
0.500 0.500 0.336
```

The calculation puts the total energy at -20.47 eV for the cell shown. Its crystal system is orthorhombic. Its spin magnetization is 0.000 μB/atom. For the volume, the calculation gives 105.6 Å³ per cell.



(2)
Computed, not measured: crystalline ZnNi at its relaxed geometry at the PBE level of DFT.

POSCAR file:
```
ZnNi
1.0
-5.112 -5.137 0.865
3.630 -4.381 -4.571
2.070 -1.535 3.116
Ni Zn
8 8
Direct
0.169 0.831 0.000
0.331 0.331 0.500
0.831 0.831 0.000
0.669 0.331 0.500
0.331 0.669 0.500
0.831 0.169 0.000
0.669 0.669 0.500
0.169 0.169 0.000
0.000 0.279 0.500
0.721 0.000 0.500
0.000 0.721 0.500
0.279 0.000 0.500
0.779 0.500 0.000
0.500 0.779 0.000
0.500 0.221 0.000
0.221 0.500 0.000
```

The calculation puts the total energy at -57.50 eV for the cell shown. Its crystal system is tetragonal. Its spin magnetization is 0.000 μB/atom. For the volume, the calculation gives 215.4 Å³ per cell.



(3)
Computed, not measured: crystalline ZnNi at its relaxed geometry at the PBE level of DFT.

POSCAR file:
```
ZnNi
1.0
3.638 0.000 0.000
-1.819 3.150 0.000
0.000 0.000 5.046
Ni Zn
2 2
Direct
0.000 0.000 0.500
0.000 0.000 0.000
0.667 0.333 0.750
0.333 0.667 0.250
```

The calculation puts the total energy at -13.50 eV for the cell shown. Its crystal system is hexagonal. Its spin magnetization is 0.000 μB/atom. For the volume, the calculation gives 57.8 Å³ per cell.



(4)
Computed, not measured: crystalline ZnNi at its relaxed geometry at the PBE level of DFT.

POSCAR file:
```
ZnNi
1.0
7.340 0.000 0.000
-3.670 6.356 0.000
0.000 0.000 3.978
Ni Zn
6 6
Direct
0.555 0.445 0.750
0.889 0.445 0.750
0.555 0.111 0.750
0.445 0.555 0.250
0.111 0.555 0.250
0.445 0.889 0.250
0.201 0.799 0.750
0.597 0.799 0.750
0.799 0.597 0.250
0.799 0.201 0.250
0.403 0.201 0.250
0.201 0.403 0.750
```

The calculation puts the total energy at -42.40 eV for the cell shown. Its crystal system is hexagonal. Its spin magnetization is 0.000 μB/atom. For the volume, the calculation gives 185.6 Å³ per cell.



(5)
Computed, not measured: crystalline Zn2Ni at its relaxed geometry at the PBE level of DFT.

POSCAR file:
```
Zn2Ni
1.0
4.722 -0.067 0.073
2.776 3.820 -0.073
-3.563 -2.249 2.134
Zn Ni
2 1
Direct
0.341 0.341 0.000
0.659 0.659 0.000
0.000 0.000 0.000
```

The calculation puts the total energy at -8.81 eV for the cell shown. Its crystal system is orthorhombic. Its spin magnetization is 0.000 μB/atom. For the volume, the calculation gives 38.6 Å³ per cell.



(6)
Computed, not measured: crystalline ZnNi at its relaxed geometry at the PBE level of DFT.

POSCAR file:
```
ZnNi
1.0
3.404 0.000 0.000
1.702 2.948 0.000
1.702 0.983 2.779
Zn Ni
1 1
Direct
0.500 0.500 0.500
0.000 0.000 0.000
```

The calculation puts the total energy at -6.62 eV for the cell shown. Its crystal system is cubic. Its spin magnetization is 0.000 μB/atom. For the volume, the calculation gives 27.9 Å³ per cell.